This record from the Alexandria database describes a geometry-optimized Tb4YCo2 structure. The functional is PBE.

The value obtained for the formation energy is -0.04 eV/atom.

```
data_Tb4YCo2
_space_group_name_H-M_alt 'P 1 21/m 1'
_space_group_IT_number 11
_space_group_name_Hall '-P 2yb'
_cell_length_a 7.660
_cell_length_b 6.387
_cell_length_c 7.756
_cell_angle_alpha 90.00
_cell_angle_beta 113.00
_cell_angle_gamma 90.00
loop_
_atom_site_label
_atom_site_fract_x
_atom_site_fract_y
_atom_site_fract_z
Tb1 0.125 0.250 0.480
Tb2 0.173 0.750 0.249
Tb3 0.259 0.502 0.911
Y1 0.474 0.250 0.337
Co1 0.091 0.250 0.129
Co2 0.489 0.250 0.767
```